No. 1
First-principles (PBEsol) data for a geometry-optimized LaAg2Os structure, as listed in Alexandria via LeMat-Bulk.

POSCAR file:
```
LaAg2Os
1.0
2.874 0.000 0.000
0.000 4.076 0.000
0.000 0.000 6.620
La Ag Os
1 2 1
direct
0.000 0.000 0.000
0.000 0.000 0.475
0.500 0.500 0.676
0.500 0.500 0.254
```

Results
For the density of states at the Fermi level, the calculation gives 2.840 states/eV per cell. Its polymorph energy (0 for the lowest one) is 53.3 meV per atom. The value obtained for the total energy is -5.68 eV/atom. As for the symmetry: Pmm2.

No. 2
First-principles (PBEsol) data for a geometry-optimized TlMoIr2 structure, as listed in Alexandria via LeMat-Bulk.

POSCAR file:
```
TlMoIr2
1.0
-2.011 2.011 3.913
2.011 -2.011 3.913
2.011 2.011 -3.913
Tl Mo Ir
1 1 2
direct
0.000 0.000 0.000
0.500 0.500 0.000
0.250 0.750 0.500
0.750 0.250 0.500
```

Results
For the density of states at the Fermi level, the calculation gives 4.008 states/eV per cell. Its polymorph energy (0 for the lowest one) is 75.7 meV per atom. The value obtained for the total energy is -8.19 eV/atom. As for the symmetry: I4/mmm.

No. 3
First-principles (PBEsol) data for a geometry-optimized TbHoRh2 structure, as listed in Alexandria via LeMat-Bulk.

POSCAR file:
```
TbHoRh2
1.0
0.000 3.369 3.369
3.369 0.000 3.369
3.369 3.369 0.000
Tb Ho Rh
1 1 2
direct
0.000 0.000 0.000
0.500 0.500 0.500
0.250 0.250 0.250
0.750 0.750 0.750
```

Results
For the density of states at the Fermi level, the calculation gives 2.043 states/eV per cell. The value obtained for the total energy is -7.39 eV/atom. As for the symmetry: Fm-3m.

No. 4
First-principles (PBEsol) data for a geometry-optimized TiGa2O5 structure, as listed in Alexandria via LeMat-Bulk.

POSCAR file:
```
TiGa2O5
1.0
4.995 -2.490 0.000
4.995 2.490 0.000
-2.413 0.000 6.540
Ti Ga O
2 4 10
direct
0.000 0.000 0.000
0.000 0.000 0.500
0.361 0.365 0.773
0.365 0.361 0.273
0.635 0.639 0.727
0.639 0.635 0.227
0.030 0.339 0.149
0.198 0.802 0.250
0.248 0.581 0.550
0.339 0.030 0.649
0.419 0.752 0.950
0.581 0.248 0.050
0.661 0.970 0.351
0.752 0.419 0.450
0.802 0.198 0.750
0.970 0.661 0.851
```

Results
For the density of states at the Fermi level, the calculation gives 0.000 states/eV per cell. Its polymorph energy (0 for the lowest one) is 25.0 meV per atom. The value obtained for the total energy is -7.43 eV/atom. The uncorrected formation energy comes out at -18.20 eV/f.u. As for the symmetry: C2/c.

No. 5
First-principles (PBEsol) data for a geometry-optimized MgPt5 structure, as listed in Alexandria via LeMat-Bulk.

POSCAR file:
```
MgPt5
1.0
4.815 0.000 0.000
-2.408 4.170 0.000
0.000 0.000 4.522
Mg Pt
1 5
direct
0.000 0.000 0.000
0.000 0.342 0.500
0.333 0.667 0.000
0.342 0.000 0.500
0.658 0.658 0.500
0.667 0.333 0.000
```

Results
For the density of states at the Fermi level, the calculation gives 8.397 states/eV per cell. The value obtained for the total energy is -6.39 eV/atom. As for the symmetry: P-62m.

No. 6
First-principles (PBEsol) data for a geometry-optimized HgRuBr2 structure, as listed in Alexandria via LeMat-Bulk.

POSCAR file:
```
HgRuBr2
1.0
1.844 1.065 8.668
-1.844 1.065 8.668
0.000 -2.130 8.668
Hg Ru Br
1 1 2
direct
0.000 0.000 0.000
0.500 0.500 0.500
0.217 0.217 0.217
0.783 0.783 0.783
```

Results
Its polymorph energy (0 for the lowest one) is 0.0 meV per atom. The value obtained for the total energy is -3.60 eV/atom. The uncorrected formation energy comes out at 0.09 eV/f.u. As for the symmetry: R-3m.

No. 7
First-principles (PBEsol) data for a geometry-optimized Fe11O12 structure, as listed in Alexandria via LeMat-Bulk.

POSCAR file:
```
Fe11O12
1.0
5.973 0.000 0.000
-2.982 5.956 0.000
-1.483 -1.473 6.325
Fe O
11 12
direct
0.000 0.000 0.000
0.018 0.675 0.677
0.260 0.835 0.319
0.261 0.523 0.998
0.263 0.163 0.678
0.497 0.674 0.681
0.503 0.326 0.319
0.737 0.837 0.322
0.739 0.477 0.002
0.740 0.165 0.681
0.982 0.325 0.323
0.104 0.741 0.997
0.120 0.408 0.661
0.127 0.085 0.339
0.363 0.257 0.998
0.370 0.911 0.653
0.373 0.577 0.338
0.627 0.423 0.662
0.630 0.089 0.347
0.637 0.743 0.002
0.873 0.915 0.661
0.880 0.592 0.339
0.896 0.259 0.003
```

Results
For the density of states at the Fermi level, the calculation gives 14.869 states/eV per cell. The value obtained for the total energy is -7.95 eV/atom. The uncorrected formation energy comes out at -21.23 eV/f.u. As for the symmetry: P-1.

No. 8
First-principles (PBEsol) data for a geometry-optimized Gd2Ni2Sn structure, as listed in Alexandria via LeMat-Bulk.

POSCAR file:
```
Gd2Ni2Sn
1.0
-2.113 2.792 4.133
2.113 -2.792 4.133
2.113 2.792 -4.133
Gd Ni Sn
2 2 1
direct
0.203 0.203 0.000
0.797 0.797 0.000
0.213 0.500 0.713
0.787 0.500 0.287
0.500 0.000 0.500
```

Results
For the density of states at the Fermi level, the calculation gives 3.689 states/eV per cell. The value obtained for the total energy is -9.70 eV/atom. As for the symmetry: Immm.

No. 9
First-principles (PBEsol) data for a geometry-optimized KTl3 structure, as listed in Alexandria via LeMat-Bulk.

POSCAR file:
```
KTl3
1.0
1.817 1.049 10.718
-1.817 1.049 10.718
0.000 -2.099 10.718
K Tl
1 3
direct
0.000 0.000 0.000
0.244 0.244 0.244
0.500 0.500 0.500
0.756 0.756 0.756
```

Results
For the density of states at the Fermi level, the calculation gives 1.867 states/eV per cell. The value obtained for the total energy is -2.23 eV/atom. As for the symmetry: R-3m.

No. 10
First-principles (PBEsol) data for a geometry-optimized ZrSc2Al structure, as listed in Alexandria via LeMat-Bulk.

POSCAR file:
```
ZrSc2Al
1.0
-1.704 2.414 5.070
1.704 -2.414 5.070
1.704 2.414 -5.070
Zr Sc Al
1 2 1
direct
0.000 0.000 0.000
0.273 0.773 0.500
0.727 0.227 0.500
0.500 0.500 0.000
```

Results
For the density of states at the Fermi level, the calculation gives 3.386 states/eV per cell. The value obtained for the total energy is -6.81 eV/atom. As for the symmetry: Immm.

No. 11
First-principles (PBEsol) data for a geometry-optimized SmCO4 structure, as listed in Alexandria via LeMat-Bulk.

POSCAR file:
```
SmCO4
1.0
7.232 0.000 0.000
0.000 4.867 0.000
0.000 0.000 7.929
Sm C O
4 4 16
direct
0.145 0.250 0.171
0.355 0.750 0.671
0.645 0.250 0.329
0.855 0.750 0.829
0.194 0.250 0.811
0.306 0.750 0.311
0.694 0.250 0.689
0.806 0.750 0.189
0.040 0.750 0.590
0.145 0.020 0.879
0.145 0.480 0.879
0.199 0.750 0.183
0.301 0.250 0.683
0.355 0.520 0.379
0.355 0.980 0.379
0.460 0.250 0.090
0.540 0.750 0.910
0.645 0.020 0.621
0.645 0.480 0.621
0.699 0.750 0.317
0.801 0.250 0.817
0.855 0.520 0.121
0.855 0.980 0.121
0.960 0.250 0.410
```

Results
For the density of states at the Fermi level, the calculation gives 5.759 states/eV per cell. The value obtained for the total energy is -7.96 eV/atom. The uncorrected formation energy comes out at -12.02 eV/f.u. As for the symmetry: Pnma.

No. 12
First-principles (PBEsol) data for a geometry-optimized CdPtBr structure, as listed in Alexandria via LeMat-Bulk.

POSCAR file:
```
CdPtBr
1.0
0.000 3.198 3.198
3.198 0.000 3.198
3.198 3.198 0.000
Cd Pt Br
1 1 1
direct
0.000 0.000 0.000
0.500 0.500 0.500
0.250 0.250 0.250
```

Results
For the density of states at the Fermi level, the calculation gives 2.195 states/eV per cell. Its polymorph energy (0 for the lowest one) is 392.1 meV per atom. The value obtained for the total energy is -2.74 eV/atom. The uncorrected formation energy comes out at 1.80 eV/f.u. As for the symmetry: F-43m.

No. 13
First-principles (PBEsol) data for a geometry-optimized LiCdRh2 structure, as listed in Alexandria via LeMat-Bulk.

POSCAR file:
```
LiCdRh2
1.0
4.482 -1.393 0.000
4.482 1.393 0.000
-0.801 0.000 4.704
Li Cd Rh
1 1 2
direct
0.000 0.000 0.000
0.758 0.758 0.217
0.247 0.247 0.711
0.507 0.507 0.537
```

Results
For the density of states at the Fermi level, the calculation gives 3.732 states/eV per cell. The value obtained for the total energy is -4.92 eV/atom. As for the symmetry: Cm.

No. 14
First-principles (PBEsol) data for a geometry-optimized KTlSb2 structure, as listed in Alexandria via LeMat-Bulk.

POSCAR file:
```
KTlSb2
1.0
4.646 0.000 0.000
0.000 4.646 0.000
0.000 0.000 5.309
K Tl Sb
1 1 2
direct
0.000 0.000 0.000
0.500 0.500 0.000
0.000 0.500 0.500
0.500 0.000 0.500
```

Results
For the density of states at the Fermi level, the calculation gives 1.883 states/eV per cell. Its polymorph energy (0 for the lowest one) is 17.6 meV per atom. The value obtained for the total energy is -3.36 eV/atom. The uncorrected formation energy comes out at -0.56 eV/f.u. As for the symmetry: P4/mmm.

No. 15
First-principles (PBEsol) data for a geometry-optimized KYCd2 structure, as listed in Alexandria via LeMat-Bulk.

POSCAR file:
```
KYCd2
1.0
-1.720 2.788 5.818
1.720 -2.788 5.818
1.720 2.788 -5.818
K Y Cd
1 1 2
direct
0.000 0.000 0.000
0.700 0.200 0.500
0.264 0.764 0.500
0.466 0.466 0.000
```

Results
For the density of states at the Fermi level, the calculation gives 2.341 states/eV per cell. Its polymorph energy (0 for the lowest one) is 122.2 meV per atom. The value obtained for the total energy is -2.57 eV/atom. As for the symmetry: Imm2.

No. 16
First-principles (PBEsol) data for a geometry-optimized LiMg2Tc structure, as listed in Alexandria via LeMat-Bulk.

POSCAR file:
```
LiMg2Tc
1.0
1.646 -2.170 0.000
1.646 2.170 0.000
0.000 0.000 9.406
Li Mg Tc
1 2 1
direct
0.000 0.000 0.000
0.000 0.000 0.455
0.500 0.500 0.735
0.500 0.500 0.225
```

Results
For the density of states at the Fermi level, the calculation gives 1.951 states/eV per cell. Its polymorph energy (0 for the lowest one) is 0.0 meV per atom. The value obtained for the total energy is -3.90 eV/atom. As for the symmetry: Cmm2.

No. 17
First-principles (PBEsol) data for a geometry-optimized Na3Li3Fe2F12 structure, as listed in Alexandria via LeMat-Bulk.

POSCAR file:
```
Na3Li3Fe2F12
1.0
-6.076 6.076 6.076
6.076 -6.076 6.076
6.076 6.076 -6.076
Na Li Fe F
12 12 8 48
direct
0.125 0.250 0.375
0.125 0.375 0.750
0.250 0.375 0.125
0.250 0.875 0.625
0.375 0.125 0.250
0.375 0.750 0.125
0.625 0.250 0.875
0.625 0.875 0.750
0.750 0.125 0.375
0.750 0.625 0.875
0.875 0.625 0.250
0.875 0.750 0.625
0.125 0.750 0.875
0.125 0.875 0.250
0.250 0.125 0.875
0.250 0.625 0.375
0.375 0.250 0.625
0.375 0.625 0.750
0.625 0.375 0.250
0.625 0.750 0.375
0.750 0.375 0.625
0.750 0.875 0.125
0.875 0.125 0.750
0.875 0.250 0.125
0.000 0.000 0.000
0.000 0.000 0.500
0.000 0.500 0.000
0.000 0.500 0.500
0.500 0.000 0.000
0.500 0.000 0.500
0.500 0.500 0.000
0.500 0.500 0.500
0.018 0.190 0.113
0.018 0.328 0.905
0.077 0.690 0.672
0.077 0.887 0.405
0.095 0.613 0.423
0.095 0.982 0.672
0.113 0.018 0.190
0.113 0.595 0.923
0.172 0.190 0.577
0.172 0.482 0.595
0.190 0.113 0.018
0.190 0.577 0.172
0.310 0.328 0.923
0.310 0.482 0.387
0.328 0.905 0.018
0.328 0.923 0.310
0.387 0.310 0.482
0.387 0.577 0.905
0.405 0.077 0.887
0.405 0.828 0.518
0.423 0.095 0.613
0.423 0.828 0.810
0.482 0.387 0.310
0.482 0.595 0.172
0.518 0.405 0.828
0.518 0.613 0.690
0.577 0.172 0.190
0.577 0.905 0.387
0.595 0.172 0.482
0.595 0.923 0.113
0.613 0.423 0.095
0.613 0.690 0.518
0.672 0.077 0.690
0.672 0.095 0.982
0.690 0.518 0.613
0.690 0.672 0.077
0.810 0.423 0.828
0.810 0.887 0.982
0.828 0.518 0.405
0.828 0.810 0.423
0.887 0.405 0.077
0.887 0.982 0.810
0.905 0.018 0.328
0.905 0.387 0.577
0.923 0.113 0.595
0.923 0.310 0.328
0.982 0.672 0.095
0.982 0.810 0.887
```

Results
For the density of states at the Fermi level, the calculation gives 85.294 states/eV per cell. The value obtained for the total energy is -5.08 eV/atom. The uncorrected formation energy comes out at -50.43 eV/f.u. As for the symmetry: Ia-3d.

No. 18
First-principles (PBEsol) data for a geometry-optimized FeRuBr2 structure, as listed in Alexandria via LeMat-Bulk.

POSCAR file:
```
FeRuBr2
1.0
1.522 -2.847 0.000
1.522 2.847 0.000
0.000 0.000 8.103
Fe Ru Br
1 1 2
direct
0.000 0.000 0.000
0.000 0.000 0.500
0.500 0.500 0.246
0.500 0.500 0.754
```

Results
For the density of states at the Fermi level, the calculation gives 5.356 states/eV per cell. Its polymorph energy (0 for the lowest one) is 0.0 meV per atom. The value obtained for the total energy is -4.88 eV/atom. The uncorrected formation energy comes out at 3.34 eV/f.u. As for the symmetry: Cmmm.

No. 19
First-principles (PBEsol) data for a geometry-optimized TaMn2Os structure, as listed in Alexandria via LeMat-Bulk.

POSCAR file:
```
TaMn2Os
1.0
-1.900 1.900 3.803
1.900 -1.900 3.803
1.900 1.900 -3.803
Ta Mn Os
1 2 1
direct
0.000 0.000 0.000
0.500 0.500 0.000
0.750 0.250 0.500
0.250 0.750 0.500
```

Results
For the density of states at the Fermi level, the calculation gives 4.699 states/eV per cell. Its polymorph energy (0 for the lowest one) is 82.5 meV per atom. The value obtained for the total energy is -11.02 eV/atom. As for the symmetry: I-4m2.

No. 20
First-principles (PBEsol) data for a geometry-optimized Co2AgAu structure, as listed in Alexandria via LeMat-Bulk.

POSCAR file:
```
Co2AgAu
1.0
4.435 -1.346 0.000
4.435 1.346 0.000
-0.799 0.000 4.627
Co Ag Au
2 1 1
direct
0.248 0.248 0.243
0.752 0.752 0.757
0.000 0.000 0.500
0.500 0.500 0.000
```

Results
For the density of states at the Fermi level, the calculation gives 4.509 states/eV per cell. The value obtained for the total energy is -5.30 eV/atom. As for the symmetry: C2/m.